The following is a DFT calculation (GGA-PBE) of a relaxed LaY2Pd crystal.

Calculated values
**E_form**: -0.11 eV/atom
**ΔE to the lowest computed polymorph**: 132 kJ/mol of formula units
**Density of states at the Fermi level**: 7.14 states/eV per cell
**SG**: No. 225
**Uncorrected energy**: -23.48 eV per formula unit

extended XYZ file:
```
4
Lattice="0.0000 3.7113 3.7113 3.7113 0.0000 3.7113 3.7113 3.7113 0.0000" Properties=species:S:1:pos:R:3 pbc="T T T"
La 0.0000 0.0000 0.0000
Y 1.8556 1.8556 1.8556
Y 5.5669 5.5669 5.5669
Pd 3.7113 3.7113 3.7113
```